SrSc: relaxed, PBE-GGA.

Unit cell a=5.672 b=5.672 c=5.672 alpha=60.00 beta=60.00 gamma=60.00
Atoms (fractional coordinates):
Sr (0.000, 0.000, 0.000)
Sc (0.250, 0.250, 0.250)

Calculated values
- ΔE to the lowest computed polymorph (eV/f.u.) = 3.12
- electronic total energy (eV/atom) = -2.25
- total magnetization (μB/atom) = 1.14
- formation energy (eV per atom) = 1.755
- DOS(E_F) (states/eV/f.u.) = 6.646